No. 1
A plane-wave DFT calculation with PBE-GGA was carried out for an optimized crystal structure of TlNiAs2.

a b c (Å): 5.9385 5.9385 5.9385
angles (deg): 151.58 124.26 63.74
Closest atoms and distances in Å follow each position.
Element x y z (fractional)
As  0.9399  0.9399  0.0000  2 Ni 2.41
As  0.5601  0.5601  0.0000  2 Ni 2.41
Tl  0.2500  0.7500  0.5000  2 Tl 2.92, 4 Ni 3.14
Ni  0.7500  0.2500  0.5000  4 As 2.41

Symmetry: Immm (71)
Energy relative to the lowest polymorph listed for this composition, meV per atom: 268.0
Magnetization, Bohr magnetons per cell: 0.000
Energy relative to the elements, eV per atom: 0.14
Calculated density, kg/m3: 8399

---

No. 2
A plane-wave DFT calculation with PBE-GGA was carried out for an optimized crystal structure of TlNi2As.

a b c (Å): 4.5267 4.5267 4.5267
angles (deg): 60.00 60.00 60.00
Closest atoms and distances in Å follow each position.
Element x y z (fractional)
As  0.5000  0.5000  0.5000  4 Tl 2.77, 4 Ni 2.77
Ni  0.0000  0.0000  0.0000  4 Ni 2.77, 4 Tl 2.77
Ni  0.2500  0.2500  0.2500  4 As 2.77, 4 Ni 2.77
Tl  0.7500  0.7500  0.7500  4 As 2.77, 4 Ni 2.77

Symmetry: F-43m (216)
Magnetization, Bohr magnetons per cell: 0.001
Energy relative to the elements, eV per atom: 0.52
Calculated density, kg/m3: 10043

---

No. 3
A plane-wave DFT calculation with PBE-GGA was carried out for an optimized crystal structure of TlNiAs2.

a b c (Å): 6.0802 6.0802 6.0802
angles (deg): 143.57 143.57 52.47
Closest atoms and distances in Å follow each position.
Element x y z (fractional)
Tl  0.7500  0.2500  0.5000  4 Ni 2.69
As  0.0000  0.0000  0.0000  4 As 2.69
As  0.5000  0.5000  0.0000  4 As 2.69
Ni  0.2500  0.7500  0.5000  4 Tl 2.69

Symmetry: I4/mmm (139)
Energy relative to the lowest polymorph listed for this composition, meV per atom: 555.7
Magnetization, Bohr magnetons per cell: 0.000
Energy relative to the elements, eV per atom: 0.43
Calculated density, kg/m3: 8703

---

No. 4
A plane-wave DFT calculation with PBE-GGA was carried out for an optimized crystal structure of TlNi2As.

a b c (Å): 3.1004 3.1004 6.6018
angles (deg): 90.00 90.00 90.00
Closest atoms and distances in Å follow each position.
Element x y z (fractional)
Ni  0.0000  0.0000  0.5569  4 As 2.54, 1 Ni 2.55
Ni  0.0000  0.0000  0.9431  4 As 2.54, 1 Ni 2.55
As  0.5000  0.5000  0.7500  8 Ni 2.54
Tl  0.5000  0.5000  0.2500  8 Ni 2.99, 4 Tl 3.10, 2 As 3.30

Symmetry: P4/mmm (123)
Magnetization, Bohr magnetons per cell: 0.000
Energy relative to the elements, eV per atom: 0.13
Calculated density, kg/m3: 10380

---

No. 5
A plane-wave DFT calculation with PBE-GGA was carried out for an optimized crystal structure of TlNiAs2.

a b c (Å): 3.3083 3.3083 7.4325
angles (deg): 90.00 90.00 90.00
Closest atoms and distances in Å follow each position.
Element x y z (fractional)
Tl  0.5000  0.5000  0.7261  5 As 3.16-3.47, 4 Tl 3.31, 4 Ni 3.36
As  0.5000  0.5000  0.3005  4 Ni 2.46
As  0.0000  0.0000  0.0718  1 Ni 2.45
Ni  0.0000  0.0000  0.4016  5 As 2.45-2.46

Symmetry: P4mm (99)
Energy relative to the lowest polymorph listed for this composition, meV per atom: 291.7
Magnetization, Bohr magnetons per cell: 0.000
Energy relative to the elements, eV per atom: 0.16
Calculated density, kg/m3: 8429

---

No. 6
A plane-wave DFT calculation with PBE-GGA was carried out for an optimized crystal structure of TlNi2As.

a b c (Å): 4.4705 4.4705 3.1270
angles (deg): 90.00 90.00 89.97
Closest atoms and distances in Å follow each position.
Element x y z (fractional)
Ni  0.0000  0.0000  0.0000  4 Tl 2.73, 4 As 2.73
Ni  0.5000  0.5000  0.0000  4 As 2.73, 4 Tl 2.73
As  0.0000  0.5000  0.5000  8 Ni 2.73
Tl  0.5000  0.0000  0.5000  8 Ni 2.73

Symmetry: P4/mmm (123)
Magnetization, Bohr magnetons per cell: 0.000
Energy relative to the elements, eV per atom: 0.24
Calculated density, kg/m3: 10541

---

Look up the calculated density of the fifth one. 8429 kg/m3

---

Repeat the second record exactly.
A plane-wave DFT calculation with PBE-GGA was carried out for an optimized crystal structure of TlNi2As.

a b c (Å): 4.5267 4.5267 4.5267
angles (deg): 60.00 60.00 60.00
Closest atoms and distances in Å follow each position.
Element x y z (fractional)
As  0.5000  0.5000  0.5000  4 Tl 2.77, 4 Ni 2.77
Ni  0.0000  0.0000  0.0000  4 Ni 2.77, 4 Tl 2.77
Ni  0.2500  0.2500  0.2500  4 As 2.77, 4 Ni 2.77
Tl  0.7500  0.7500  0.7500  4 As 2.77, 4 Ni 2.77

Symmetry: F-43m (216)
Magnetization, Bohr magnetons per cell: 0.001
Energy relative to the elements, eV per atom: 0.52
Calculated density, kg/m3: 10043